A plane-wave DFT calculation with GGA+U was carried out for an optimized crystal structure of GdVO4.

Geometry as POSCAR:
```
GdVO4
1.0
-0.9011 2.4124 5.5027
1.7791 -5.8076 -0.1314
4.4934 3.2053 -2.5389
O V Gd
8 2 2
direct
0.9237 0.6070 0.6832
0.4905 0.6737 0.8168
0.9237 0.2405 0.3168
0.7595 0.0763 0.6832
0.8570 0.6737 0.1832
0.3263 0.5095 0.1832
0.3263 0.1430 0.8168
0.3930 0.0763 0.3168
0.7500 0.2500 0.5000
0.5000 0.5000 0.0000
0.2500 0.7500 0.5000
0.0000 0.0000 0.0000
```

Values from the calculation:
Energy: -9.603 eV per atom
Magnetic moment: 13.99 Bohr magnetons per cell